Material: CsGa4S7
Method: DFT, PBE
State: optimized geometry

Results
- total magnetization (μB per cell) = 2.22
- raw formation energy (eV/atom) = -0.72

a b c (Å): 15.3326 6.5217 6.1295
angles (deg): 90.00 90.00 90.00
Last column: nearest neighbours and their distance in Å.
Atoms (fractional coordinates):
Cs: 0.0000 0.1952 0.0000  12 S 3.62-4.02
Cs: 0.5000 0.8048 0.5000  12 S 3.62-4.02
Ga: 0.1234 0.6674 0.5990  4 S 2.27-2.35
Ga: 0.2491 0.1820 0.5787  4 S 2.26-2.37
Ga: 0.2509 0.8180 0.0787  4 S 2.26-2.37
Ga: 0.3766 0.3326 0.0990  4 S 2.27-2.35
Ga: 0.6234 0.3326 0.0990  4 S 2.27-2.35
Ga: 0.7491 0.8180 0.0787  4 S 2.26-2.37
Ga: 0.7509 0.1820 0.5787  4 S 2.26-2.37
Ga: 0.8766 0.6674 0.5990  4 S 2.27-2.35
S: 0.0000 0.8300 0.4714  2 Ga 2.30
S: 0.1200 0.6956 0.9712  2 Ga 2.26-2.29
S: 0.1231 0.3365 0.4819  2 Ga 2.26-2.27
S: 0.2473 0.8374 0.4649  3 Ga 2.35-2.37
S: 0.2527 0.1626 0.9649  3 Ga 2.35-2.37
S: 0.3769 0.6635 0.9819  2 Ga 2.26-2.27
S: 0.3800 0.3044 0.4712  2 Ga 2.26-2.29
S: 0.5000 0.1700 0.9714  2 Ga 2.30
S: 0.6200 0.3044 0.4712  2 Ga 2.26-2.29
S: 0.6231 0.6635 0.9819  2 Ga 2.26-2.27
S: 0.7473 0.1626 0.9649  3 Ga 2.35-2.37
S: 0.7527 0.8374 0.4649  3 Ga 2.35-2.37
S: 0.8769 0.3365 0.4819  2 Ga 2.26-2.27
S: 0.8800 0.6956 0.9712  2 Ga 2.26-2.29

---

Material: Zr2CdW
Method: DFT, PBE
State: optimized geometry

Results
- total magnetization (μB per cell) = 0.00
- formation energy (eV/f.u.) = 0.96

a b c (Å): 5.4851 5.4851 5.3542
angles (deg): 99.87 99.87 31.03
Last column: nearest neighbours and their distance in Å.
Atoms (fractional coordinates):
Zr: 0.0000 0.0000 0.0000  3 Zr 2.93-3.16, 3 W 2.99-3.03, 4 Cd 3.03-3.10
Zr: 0.2235 0.2235 0.6796  3 Zr 2.93-3.16, 3 Cd 2.98-3.07, 4 W 3.06-3.07
Cd: 0.4705 0.4705 0.4825  2 Cd 2.93, 7 Zr 2.98-3.10, 2 W 3.00
W: 0.7452 0.7452 0.1862  2 W 2.93, 7 Zr 2.99-3.07, 2 Cd 3.00

---

Material: SrHgMo
Method: DFT, PBE
State: optimized geometry

Results
- total magnetization (μB per cell) = 0.00
- polymorph energy (0 for the lowest one) (kJ/mol of formula units) = 1
- formation energy (eV/f.u.) = 2.06

a b c (Å): 7.6828 7.6809 3.0458
angles (deg): 78.60 78.53 22.87
Last column: nearest neighbours and their distance in Å.
Atoms (fractional coordinates):
Sr: 0.0000 0.0000 0.0000  4 Sr 3.05, 4 Mo 3.37
Hg: 0.3198 0.3198 0.6802  4 Mo 3.02-3.03, 4 Hg 3.05
Mo: 0.6759 0.6759 0.3241  4 Hg 3.02-3.03, 4 Mo 3.05, 4 Sr 3.37

---

Material: Pm3Nd5Y4
Method: DFT, PBE
State: optimized geometry

Results
- total magnetization (μB per cell) = 0.00
- polymorph energy (0 for the lowest one) (kJ/mol of formula units) = 226
- formation energy (eV/f.u.) = 2.48

a b c (Å): 8.7134 8.7134 9.4223
angles (deg): 114.75 114.75 40.54
Last column: nearest neighbours and their distance in Å.
Atoms (fractional coordinates):
Pm: 0.0000 0.0000 0.0000  2 Nd 3.02
Pm: 0.2913 0.2913 0.7700  3 Nd 3.12-3.27, 2 Y 3.34-3.46
Pm: 0.7087 0.7087 0.2300  3 Nd 3.12-3.27, 2 Y 3.34-3.46
Nd: 0.0764 0.0764 0.6996  2 Pm 3.27-3.57, 1 Nd 3.46
Nd: 0.1733 0.1733 0.3842  4 Pm 3.27-3.51, 3 Y 3.52-3.60
Nd: 0.5000 0.5000 0.0000  4 Pm 3.02-3.12
Nd: 0.8267 0.8267 0.6158  4 Pm 3.27-3.51, 3 Y 3.52-3.60
Nd: 0.9236 0.9236 0.3004  2 Pm 3.27-3.57, 1 Nd 3.46
Y: 0.2878 0.2878 0.1223  3 Pm 3.34-3.60, 3 Y 3.66-3.71, 3 Nd 3.68-3.70
Y: 0.4190 0.4190 0.5603  2 Y 3.32-3.71, 1 Pm 3.46, 3 Nd 3.52-3.60
Y: 0.5810 0.5810 0.4397  2 Y 3.32-3.71, 1 Pm 3.46, 3 Nd 3.52-3.60
Y: 0.7122 0.7122 0.8777  3 Pm 3.34-3.60, 3 Y 3.66-3.71, 3 Nd 3.68-3.70

---

Material: LiBeP2S6
Method: DFT, PBE
State: optimized geometry

Results
- total magnetization (μB per cell) = 0.00
- raw formation energy (eV/atom) = -0.36

a b c (Å): 8.3784 8.3784 7.0855
angles (deg): 110.33 110.33 84.82
Last column: nearest neighbours and their distance in Å.
Atoms (fractional coordinates):
Li: 0.0983 0.9017 0.7500  4 S 2.58-2.67
Li: 0.9017 0.0983 0.2500  4 S 2.58-2.67
Be: 0.2075 0.7925 0.2500  4 S 2.12-2.17
Be: 0.7925 0.2075 0.7500  4 S 2.12-2.17
P: 0.2142 0.3740 0.8451  3 S 1.99-2.08
P: 0.3740 0.2142 0.3451  3 S 1.99-2.08
P: 0.6260 0.7858 0.6549  3 S 1.99-2.08
P: 0.7858 0.6260 0.1549  3 S 1.99-2.08
S: 0.0182 0.1902 0.6624  1 P 2.08, 1 Be 2.17
S: 0.1420 0.6222 0.9307  1 P 2.05, 1 Be 2.12
S: 0.1902 0.0182 0.1624  1 P 2.08, 1 Be 2.17
S: 0.3021 0.4011 0.5614  1 P 1.99
S: 0.3778 0.8580 0.5693  1 P 2.05, 1 Be 2.12
S: 0.4011 0.3021 0.0614  1 P 1.99
S: 0.5989 0.6979 0.9386  1 P 1.99
S: 0.6222 0.1420 0.4307  1 P 2.05, 1 Be 2.12
S: 0.6979 0.5989 0.4386  1 P 1.99
S: 0.8098 0.9818 0.8376  1 P 2.08, 1 Be 2.17
S: 0.8580 0.3778 0.0693  1 P 2.05, 1 Be 2.12
S: 0.9818 0.8098 0.3376  1 P 2.08, 1 Be 2.17

---

Material: SnSb3P
Method: DFT, PBE
State: optimized geometry

Results
- total magnetization (μB per cell) = 0.00
- polymorph energy (0 for the lowest one) (kJ/mol of formula units) = 0
- raw formation energy (eV/atom) = 0.48

a b c (Å): 5.2403 5.2403 5.2403
angles (deg): 90.00 90.00 90.00
Last column: nearest neighbours and their distance in Å.
Atoms (fractional coordinates):
Sn: 0.0000 0.0000 0.0000  12 Sb 3.71
Sb: 0.0000 0.5000 0.5000  2 P 2.62
Sb: 0.5000 0.0000 0.5000  2 P 2.62
Sb: 0.5000 0.5000 0.0000  2 P 2.62
P: 0.5000 0.5000 0.5000  6 Sb 2.62